one.
Here is a relaxed structure of AcCuI from the Alexandria database. Energies are from PBE-GGA.

Structure (POSCAR):
```
AcCuI
1.0
4.047 0.000 0.000
0.000 4.047 0.000
-2.023 -2.023 5.659
Ac Cu I
1 1 1
direct
0.690 0.690 0.380
0.311 0.311 0.623
0.998 0.998 0.997
```

Output
Crystal system: tetragonal
Calculated volume: 93 Å³ per cell
Density: 7.5 Mg/m³
Space-group type: I4mm (107)
Magnetic moment: 0.26 μB per formula unit



two.
Here is a relaxed structure of AcCuI from the Alexandria database. Energies are from PBE-GGA.

Structure (POSCAR):
```
AcCuI
1.0
-2.230 3.749 -0.517
-2.602 1.431 3.236
10.044 6.294 4.881
I Ac Cu
2 2 2
direct
0.679 0.679 0.161
0.321 0.321 0.839
0.021 0.021 0.341
0.979 0.979 0.659
0.666 0.666 0.501
0.334 0.334 0.499
```

Output
Crystal system: monoclinic
Calculated volume: 215 Å³ per cell
Density: 6.4 Mg/m³
Space-group type: C2/m (12)
Magnetic moment: 0.00 μB per formula unit



It is two that is the most stable of them.



one.
Here is a relaxed structure of Ac3In2Cu from the Alexandria database. Energies are from PBE-GGA.

Structure (POSCAR):
```
Ac3In2Cu
1.0
-0.438 2.789 -3.840
0.848 -10.363 -7.624
-13.137 -1.420 0.468
Ac In Cu
12 8 4
direct
0.750 0.627 0.949
0.250 0.795 0.727
0.250 0.373 0.051
0.750 0.295 0.773
0.250 0.705 0.227
0.750 0.552 0.621
0.250 0.052 0.879
0.750 0.873 0.449
0.250 0.448 0.379
0.750 0.205 0.273
0.250 0.127 0.551
0.750 0.948 0.121
0.750 0.506 0.193
0.750 0.994 0.693
0.250 0.687 0.484
0.750 0.313 0.516
0.250 0.813 0.984
0.750 0.187 0.016
0.250 0.494 0.807
0.250 0.006 0.307
0.250 0.130 0.124
0.750 0.630 0.376
0.750 0.870 0.876
0.250 0.370 0.624
```

Output
Crystal system: orthorhombic
Calculated volume: 812 Å³ per cell
Density: 8.0 Mg/m³
Space-group type: Pnma (62)
Magnetic moment: 0.00 μB per formula unit



two.
Here is a relaxed structure of Ac3In2Cu from the Alexandria database. Energies are from PBE-GGA.

Structure (POSCAR):
```
Ac3In2Cu
1.0
-0.056 5.409 4.259
-7.109 0.248 -0.408
1.212 -7.698 4.228
Cu Ac In
2 6 4
direct
0.857 0.750 0.000
0.143 0.250 0.000
0.608 0.250 0.000
0.047 0.589 0.309
0.953 0.411 0.691
0.392 0.750 0.000
0.262 0.089 0.309
0.738 0.911 0.691
0.555 0.545 0.346
0.445 0.455 0.654
0.209 0.955 0.654
0.791 0.045 0.346
```

Output
Crystal system: monoclinic
Calculated volume: 392 Å³ per cell
Density: 8.3 Mg/m³
Space-group type: C2/c (15)
Magnetic moment: 0.00 μB per formula unit



It is one that is the most stable of them.



one.
Here is a relaxed structure of AcInCu from the Alexandria database. Energies are from PBE-GGA.

Structure (POSCAR):
```
AcInCu
1.0
-1.982 -5.013 -1.429
5.231 -0.180 1.923
-3.677 1.836 5.267
Ac In Cu
2 2 2
direct
0.975 0.025 0.000
0.725 0.275 0.500
0.363 0.637 0.500
0.613 0.387 0.000
0.069 0.931 0.500
0.319 0.681 0.000
```

Output
Crystal system: orthorhombic
Calculated volume: 170 Å³ per cell
Density: 7.9 Mg/m³
Space-group type: Fdd2 (43)
Magnetic moment: 0.00 μB per formula unit



two.
Here is a relaxed structure of AcInCu from the Alexandria database. Energies are from PBE-GGA.

Structure (POSCAR):
```
AcInCu
1.0
-2.197 -1.727 2.269
2.402 0.421 2.647
-2.661 5.867 -0.966
Ac In Cu
1 1 1
direct
0.988 0.988 0.976
0.698 0.698 0.397
0.314 0.314 0.627
```

Output
Crystal system: tetragonal
Calculated volume: 78 Å³ per cell
Density: 8.7 Mg/m³
Space-group type: I4mm (107)
Magnetic moment: 0.00 μB per formula unit



three.
Here is a relaxed structure of AcInCu from the Alexandria database. Energies are from PBE-GGA.

Structure (POSCAR):
```
AcInCu
1.0
-0.701 -1.688 -3.668
2.500 -3.893 1.313
-4.736 0.204 0.812
Cu In Ac
1 1 1
direct
0.167 0.000 0.000
0.167 0.333 0.667
0.667 0.667 0.333
```

Output
Crystal system: hexagonal
Calculated volume: 82 Å³ per cell
Density: 8.2 Mg/m³
Space-group type: P-6m2 (187)
Magnetic moment: 0.00 μB per formula unit



It is three that is the most stable of them.